DFT (PBE-GGA) results for Pm3GaB2Rh9 after structural relaxation.

The size of the total moment comes out at 0.00 μB per formula unit. For the total energy, the calculation gives -7.07 eV per atom. The formation energy from the elements comes out at -60 kJ/mol of atoms.

The structure belongs to space group P-3m1 (No. 164); the cell edges are 6.1346, 6.1346 and 7.6426 Å and the angles 90.00°, 90.00° and 120.00°. Symmetry generates all atoms from Pm at (0.0000, 0.0000, 0.0000), Pm at (0.3333, 0.6667, 0.6602), Ga at (0.0000, 0.0000, 0.5000), B at (0.3333, 0.6667, 0.1463), Rh at (0.0000, 0.5000, 0.0000) and Rh at (0.1779, 0.3558, 0.3093).

***

DFT (PBE-GGA) results for PrY4Hg5 after structural relaxation.

The size of the total moment comes out at 0.75 μB per formula unit. For the total energy, the calculation gives -3.72 eV per atom. The formation energy from the elements comes out at -48 kJ/mol of atoms.

The structure belongs to space group P4/mmm (No. 123); the cell edges are 3.749, 3.749 and 18.857 Å and the angles 90.00°, 90.00° and 90.00°. Symmetry generates all atoms from Pr at (0.000, 0.000, 0.000), Y at (0.000, 0.000, 0.205), Y at (0.000, 0.000, 0.402), Hg at (0.500, 0.500, 0.111), Hg at (0.500, 0.500, 0.304) and Hg at (0.500, 0.500, 0.500).

***

DFT (PBE-GGA) results for Ce3Pr4NbN8 after structural relaxation.

The size of the total moment comes out at 0.00 μB per formula unit. The value obtained for the uncorrected formation energy is -1.34 eV per atom. For the total energy, the calculation gives -8.44 eV per atom.

The structure belongs to space group R-3m (No. 166, hexagonal axes); the cell edges are 7.0839, 7.0839 and 17.5367 Å and the angles 90.00°, 90.00° and 120.00°. Symmetry generates all atoms from Ce at (0.0000, 0.5000, 0.0000), Pr at (0.0000, 0.0000, 0.5000), Pr at (0.0000, 0.5000, 0.5000), Nb at (0.0000, 0.0000, 0.0000), N at (0.0000, 0.0000, 0.2570) and N at (0.0221, 0.5111, 0.7385).

***

> Which of these has the highest size of the total moment?

PrY4Hg5

***

> Which of these has the highest size of the total moment?

PrY4Hg5